Density functional theory data (PBE with a Hubbard U) for a relaxed structure of Ca2HoMn3O9.

Calculated values
Mass density = 5.5 Mg/m³
Total magnetic moment = 0.67 μB/atom
Space-group type = P-1
E_tot = -439.2 eV per cell
Calculated volume = 11.11 A^3/atom

Unit cell a=7.6855 b=9.2623 c=10.7578 alpha=73.21 beta=88.84 gamma=66.23
With the nearest neighbours (Å) after each atom.
Positions (direct):
1 O 0.4326 0.7077 0.0443  2 Mn 1.96-1.98
2 O 0.5522 0.8989 0.1454  2 Mn 2.00
3 O 0.6152 0.3619 0.1795  2 Mn 1.96-1.97
4 O 0.3848 0.6381 0.8205  2 Mn 1.96-1.97
5 O 0.2696 0.0357 0.5181  2 Mn 1.97-1.98
6 O 0.4191 0.1627 0.2847  2 Mn 1.99
7 O 0.8007 0.0192 0.2301  2 Mn 1.94-1.97
8 O 0.7304 0.9643 0.4819  2 Mn 1.97-1.98
9 O 0.0660 0.2968 0.1506  2 Mn 1.98
10 O 0.5809 0.8373 0.7153  2 Mn 1.99
11 O 0.0940 0.3688 0.3802  2 Mn 1.94-1.95
12 O 0.2339 0.9584 0.2925  2 Mn 1.96-1.97
13 O 0.5397 0.3123 0.4361  2 Mn 1.93-1.96
14 O 0.4478 0.1011 0.8546  2 Mn 2.00
15 O 0.1325 0.3515 0.8976  2 Mn 1.96
16 O 0.5217 0.3606 0.6818  2 Mn 1.96-1.97
17 O 0.2528 0.4925 0.0450  2 Mn 1.97-1.98
18 O 0.1356 0.2985 0.6502  2 Mn 1.96-1.98
19 O 0.9198 0.1580 0.3834  2 Mn 1.99-2.01
20 O 0.8675 0.6485 0.1024  2 Mn 1.96
21 O 0.0802 0.8420 0.6166  2 Mn 1.99-2.01
22 O 0.4603 0.6877 0.5639  2 Mn 1.93-1.96
23 O 0.7661 0.0416 0.7075  2 Mn 1.96-1.97
24 O 0.1969 0.0345 0.0203  2 Mn 1.97-1.98
25 O 0.8644 0.7015 0.3498  2 Mn 1.96-1.98
26 O 0.9340 0.7032 0.8494  2 Mn 1.98
27 O 0.8879 0.2238 0.8153  2 Mn 1.96-1.98
28 O 0.1993 0.9808 0.7699  2 Mn 1.94-1.97
29 O 0.9060 0.6312 0.6198  2 Mn 1.94-1.95
30 O 0.1121 0.7762 0.1847  2 Mn 1.96-1.98
31 O 0.4783 0.6394 0.3182  2 Mn 1.96-1.97
32 O 0.5674 0.2923 0.9557  2 Mn 1.96-1.98
33 O 0.7809 0.4353 0.5163  2 Mn 1.99
34 O 0.2191 0.5647 0.4837  2 Mn 1.99
35 O 0.7472 0.5075 0.9550  2 Mn 1.97-1.98
36 O 0.8031 0.9655 0.9797  2 Mn 1.97-1.98
37 Mn 0.8323 0.8340 0.6654  6 O 1.94-1.99
38 Mn 0.0000 0.5000 0.0000  6 O 1.96-1.98
39 Mn 0.5000 0.5000 0.5000  6 O 1.96-1.99
40 Mn 0.6670 0.1671 0.8315  6 O 1.96-2.00
41 Mn 0.3330 0.8329 0.1685  6 O 1.96-2.00
42 Mn 0.6640 0.1685 0.3320  6 O 1.93-2.01
43 Mn 0.5000 0.5000 0.0000  6 O 1.97-1.98
44 Mn 0.0000 0.5000 0.5000  6 O 1.95-1.99
45 Mn 0.1658 0.1653 0.8340  6 O 1.94-2.00
46 Mn 0.3360 0.8315 0.6680  6 O 1.93-2.01
47 Mn 0.1677 0.1660 0.3346  6 O 1.94-1.99
48 Mn 0.8342 0.8347 0.1660  6 O 1.94-2.00
49 Ho 0.6279 0.8167 0.9322  6 O 2.27-2.43
50 Ho 0.3721 0.1833 0.0678  6 O 2.27-2.43
51 Ho 0.9615 0.1527 0.5978  6 O 2.28-2.43
52 Ho 0.0385 0.8473 0.4022  6 O 2.28-2.43
53 Ca 0.2209 0.5226 0.7283  6 O 2.33-2.60
54 Ca 0.1154 0.8090 0.9390  6 O 2.32-2.58
55 Ca 0.7791 0.4774 0.2717  6 O 2.33-2.60
56 Ca 0.7119 0.5137 0.7354  6 O 2.33-2.58
57 Ca 0.8846 0.1910 0.0610  6 O 2.32-2.58
58 Ca 0.4461 0.1490 0.6038  5 O 2.30-2.55
59 Ca 0.5539 0.8510 0.3962  5 O 2.30-2.55
60 Ca 0.2881 0.4863 0.2646  6 O 2.33-2.58